Below is a relaxed BeFeCoBi crystal, with properties calculated at the GGA-PBE level.

a b c (Å): 4.212 4.212 4.212
angles (deg): 60.00 60.00 60.00
Sites, in units of the cell vectors:
1 Be 0.000 0.000 0.000
2 Fe 0.750 0.750 0.750
3 Co 0.250 0.250 0.250
4 Bi 0.500 0.500 0.500

Values from the calculation:
The final energy comes out at -21.337 eV/cell. Its magnetization is 0.3 Bohr magnetons per cell. The value obtained for the polymorph energy (0 for the lowest one) is 0 meV/atom. As for the theoretical density: 10.45 g/cm3. The space group is F-43m.